(1)
Entry from Alexandria: Tc2RhBr after structural relaxation (PBE).

Cell and atoms, written as POSCAR:
```
Tc2RhBr
1.0
-2.169 -0.279 4.539
-1.845 -3.009 3.595
3.963 -0.274 2.148
Tc Rh Br
2 1 1
direct
0.720 0.720 0.773
0.009 0.009 0.005
0.273 0.273 0.232
0.497 0.497 0.490
```

## Properties
- uncorrected formation energy (eV/f.u.) = 2.5
- offset from the most stable computed form (eV per formula unit) = 0.80
- size of the total moment (μB/f.u.) = 0.00
- DOS(E_F) (states/eV/f.u.) = 3.69

(2)
Entry from Alexandria: Ac3PdPb after structural relaxation (PBE).

Cell and atoms, written as POSCAR:
```
Ac3PdPb
1.0
-5.532 1.837 0.596
0.107 -1.515 5.659
1.928 5.354 1.397
Pb Ac Pd
1 3 1
direct
0.500 0.500 0.500
0.500 0.000 0.000
0.000 0.000 0.500
0.000 0.500 0.000
0.000 0.000 0.000
```

## Properties
- offset from the most stable computed form (eV per formula unit) = 0.95
- size of the total moment (μB/f.u.) = 0.00
- energy relative to the elements (eV per formula unit) = -1.80
- DOS(E_F) (states/eV/f.u.) = 4.71

(3)
Entry from Alexandria: ZnTePS after structural relaxation (PBE).

Cell and atoms, written as POSCAR:
```
ZnTePS
1.0
-5.380 -3.967 2.763
2.300 -1.245 2.692
-0.285 6.639 3.314
Te Zn S P
2 2 2 2
direct
0.558 0.500 0.419
0.558 0.000 0.919
0.213 0.000 0.672
0.213 0.500 0.172
0.088 0.000 0.976
0.088 0.500 0.476
0.809 0.000 0.759
0.809 0.500 0.259
```

## Properties
- uncorrected formation energy (eV/f.u.) = 0.0
- offset from the most stable computed form (eV per formula unit) = 0.57
- size of the total moment (μB/f.u.) = 0.00
- DOS(E_F) (states/eV/f.u.) = 1.07

(4)
Entry from Alexandria: Pm2Pr2Er15 after structural relaxation (PBE).

Cell and atoms, written as POSCAR:
```
Pm2Pr2Er15
1.0
8.514 -0.262 1.691
1.338 8.412 1.691
-0.316 -0.262 8.674
Er Pr Pm
15 2 2
direct
0.636 0.155 0.636
0.305 0.000 0.695
0.305 0.695 0.000
0.000 0.000 0.500
0.845 0.364 0.364
0.695 0.305 0.000
0.000 0.305 0.695
0.695 0.000 0.305
0.000 0.500 0.000
0.364 0.845 0.364
0.500 0.000 0.000
0.000 0.695 0.305
0.155 0.636 0.636
0.364 0.364 0.845
0.636 0.636 0.155
0.121 0.121 0.121
0.879 0.879 0.879
0.337 0.337 0.337
0.663 0.663 0.663
```

## Properties
- size of the total moment (μB/f.u.) = 0.00
- energy relative to the elements (eV per formula unit) = 5.32
- DOS(E_F) (states/eV/f.u.) = 35.68

(5)
Entry from Alexandria: CeHoErLu after structural relaxation (PBE).

Cell and atoms, written as POSCAR:
```
CeHoErLu
1.0
-0.001 -1.853 5.275
4.650 -2.200 2.191
2.822 2.785 3.942
Ho Lu Er Ce
1 1 1 1
direct
0.750 0.750 0.750
0.500 0.500 0.500
0.000 0.000 0.000
0.250 0.250 0.250
```

## Properties
- size of the total moment (μB/f.u.) = 0.68
- energy relative to the elements (eV per formula unit) = 0.57
- DOS(E_F) (states/eV/f.u.) = 8.05

(6)
Entry from Alexandria: SrMg2Ru after structural relaxation (PBE).

Cell and atoms, written as POSCAR:
```
SrMg2Ru
1.0
5.363 0.033 0.000
1.551 5.134 0.000
-3.457 -2.584 3.184
Ru Sr Mg
1 1 2
direct
0.250 0.750 0.500
0.750 0.250 0.500
0.500 0.500 0.000
0.000 0.000 0.000
```

## Properties
- size of the total moment (μB/f.u.) = 0.00
- energy relative to the elements (eV per formula unit) = 1.01
- DOS(E_F) (states/eV/f.u.) = 2.18

(7)
Entry from Alexandria: Ba8HPt3I3 after structural relaxation (PBE).

Cell and atoms, written as POSCAR:
```
Ba8HPt3I3
1.0
-3.354 -8.337 -1.824
9.014 1.148 1.234
-5.873 0.547 8.297
Ba Pt H I
8 3 1 3
direct
0.767 0.534 0.303
0.233 0.964 0.697
0.266 0.533 0.299
0.732 0.964 0.697
0.233 0.466 0.697
0.268 0.036 0.303
0.767 0.036 0.303
0.734 0.467 0.701
0.500 0.500 0.500
0.000 0.500 0.500
0.500 0.000 0.500
0.000 0.000 0.500
0.000 0.000 0.000
0.500 0.500 0.000
0.000 0.500 0.000
```

## Properties
- total energy (eV/atom) = -3.6939
- size of the total moment (μB/f.u.) = 0.40
- DOS(E_F) (states/eV/f.u.) = 11.45

(8)
Entry from Alexandria: BeSiAu2 after structural relaxation (PBE).

Cell and atoms, written as POSCAR:
```
BeSiAu2
1.0
-2.140 1.742 3.539
-3.563 -2.110 1.729
0.300 -1.994 4.009
Au Be Si
2 1 1
direct
0.000 0.000 0.000
0.250 0.250 0.250
0.500 0.500 0.500
0.750 0.750 0.750
```

## Properties
- uncorrected formation energy (eV/f.u.) = 1.7
- size of the total moment (μB/f.u.) = 0.00
- DOS(E_F) (states/eV/f.u.) = 2.92